# Li2UCrN4 PBE optimized geometry
data_Li2UCrN4
_chemical_formula_sum 'Li8 U4 Cr4 N16'
_cell_length_a 3.1792
_cell_length_b 11.4919
_cell_length_c 9.4199
_cell_angle_alpha 90.00
_cell_angle_beta 90.00
_cell_angle_gamma 90.00
_symmetry_space_group_name_H-M 'C m c m'
_symmetry_Int_Tables_number 63
_symmetry_space_group_name_Hall '-C 2c 2'
loop_
_atom_site_label
_atom_site_type_symbol
_atom_site_fract_x
_atom_site_fract_y
_atom_site_fract_z
Li1 Li 0.0000 0.1018 0.0401
U1 U 0.0000 0.4496 0.2500
Cr1 Cr 0.0000 0.2902 0.7500
N1 N 0.0000 0.1014 0.2500
N2 N 0.0000 0.1939 0.6200
N3 N 0.0000 0.5000 0.0000
# E_form (uncorrected) ... -0.504 eV/atom
# Crystal system ... orthorhombic
# Total DFT energy (no corrections) ... -62.07 eV/f.u.